A geometry-optimized LiRhOF2 structure. Source: the Alexandria database, functional GGA-PBE.

POSCAR file:
```
LiRhOF2
1.0
3.458 0.000 0.000
0.000 3.458 0.000
0.000 0.000 4.105
Li F O Rh
1 2 1 1
direct
0.000 0.000 0.000
0.500 0.000 0.000
0.000 0.500 0.000
0.000 0.000 0.500
0.500 0.500 0.500
```

Properties
- Excess energy over the best structure of this formula in the dataset: 46.7 kJ per mole of atoms

---

A geometry-optimized PmTh2Pt4 structure. Source: the Alexandria database, functional GGA-PBE.

POSCAR file:
```
PmTh2Pt4
1.0
-7.052 -2.458 1.051
4.875 -5.646 1.111
1.459 5.547 4.896
Pt Pm Th
8 2 4
direct
0.541 0.621 0.754
0.871 0.291 0.254
0.036 0.617 0.746
0.214 0.459 0.081
0.379 0.133 0.919
0.383 0.129 0.419
0.709 0.964 0.581
0.867 0.786 0.246
0.000 0.000 0.000
0.250 0.750 0.500
0.754 0.375 0.879
0.125 0.246 0.621
0.625 0.504 0.379
0.496 0.875 0.121
```

Properties
- Energy relative to the elements: -1174 meV per atom

---

A geometry-optimized CeGa3Ag3 structure. Source: the Alexandria database, functional GGA-PBE.

POSCAR file:
```
CeGa3Ag3
1.0
-2.120 2.064 -3.344
-8.337 -4.051 2.783
4.964 7.918 1.742
Ce Ga Ag
2 6 6
direct
0.750 0.371 0.655
0.250 0.629 0.345
0.250 0.645 0.987
0.250 0.229 0.323
0.750 0.771 0.677
0.750 0.743 0.198
0.750 0.355 0.013
0.250 0.257 0.802
0.250 0.663 0.723
0.250 0.006 0.392
0.750 0.994 0.608
0.250 0.080 0.933
0.750 0.920 0.067
0.750 0.337 0.277
```

Properties
- Excess energy over the best structure of this formula in the dataset: 0.0 kJ per mole of atoms
- Energy relative to the elements: -258 meV per atom

---

A geometry-optimized FeP2 structure. Source: the Alexandria database, functional GGA-PBE.

POSCAR file:
```
FeP2
1.0
4.148 0.000 0.000
-2.074 3.593 -0.003
0.000 0.001 2.501
P Fe
2 1
direct
0.667 0.333 0.000
0.333 0.667 0.000
0.000 0.000 0.000
```

Properties
- Energy relative to the elements: 159 meV per atom

---

E list, top to bottom, in eV per atom: -4.45 -7.42 -3.62 -6.27